Entry 1:
Entry from the Alexandria database: MgBe2Cr at its PBEsol-relaxed geometry (SCAN).

Lattice parameters (Å, degrees): 2.4620 4.1695 5.0293 95.46 90.00 107.17
Atoms (fractional coordinates):
Be: 0.2467 0.4934 0.1765
Mg: 0.0000 0.0000 0.5000
Cr: 0.5000 0.0000 0.0000
Be: 0.7533 0.5066 0.8235

## Properties
ΔE_f = 0.44 eV per atom
V = 12.3 Å³/atom

=====

Entry 2:
Entry from the Alexandria database: MgBeCr2 at its PBEsol-relaxed geometry (SCAN).

Lattice parameters (Å, degrees): 3.1216 3.7500 4.1990 90.00 90.00 90.00
Last column: magnetic moment on the atom in μB.
Atoms (fractional coordinates):
Be: 0.0000 0.5000 0.5000  0.03
Cr: 0.5000 0.5000 0.0000  -2.69
Cr: 0.0000 0.0000 0.0000  2.68
Mg: 0.5000 0.0000 0.5000  0.00

## Properties
ΔE_f = 0.26 eV per atom
V = 12.3 Å³/atom

=====

Entry 3:
Entry from the Alexandria database: MgBeCr2 at its PBEsol-relaxed geometry (SCAN).

Lattice parameters (Å, degrees): 2.4242 4.7687 4.7687 119.55 90.00 90.00
Atoms (fractional coordinates):
Cr: 0.0000 0.0000 0.5000
Mg: 0.5000 0.0000 0.0000
Be: 0.5000 0.5000 0.5000
Cr: 0.0000 0.5000 0.0000

## Properties
ΔE_f = 0.52 eV per atom
V = 12.0 Å³/atom

=====

Entry 4:
Entry from the Alexandria database: MgBe4Cr at its PBEsol-relaxed geometry (SCAN).

Lattice parameters (Å, degrees): 4.4694 4.4694 4.4694 60.00 60.00 60.00
Last column: magnetic moment on the atom in μB.
Atoms (fractional coordinates):
Mg: 0.0000 0.0000 0.0000  0.00
Cr: 0.7500 0.7500 0.7500  3.49
Be: 0.3768 0.3768 0.8695  -0.01
Be: 0.8695 0.3768 0.3768  -0.01
Be: 0.3768 0.3768 0.3768  -0.01
Be: 0.3768 0.8695 0.3768  -0.01

## Properties
ΔE_f = -0.04 eV per atom
V = 10.5 Å³/atom